[1]
DFT (PBE) results for a geometry-optimized AcCeGa2 structure.

Lattice parameters (Å, degrees): 3.801 3.801 7.498 90.00 90.00 90.00
Fractional positions:
Ac (0.000, 0.000, 0.000)
Ce (0.000, 0.000, 0.500)
Ga (0.500, 0.500, 0.272)
Ga (0.500, 0.500, 0.728)

Properties
* space group: P4/mmm (123)
* volume: 108.34 Å³/f.u.
* size of the total moment: 0.809 μB/f.u.
* ΔH_f (0 K): -1.70 eV per formula unit

[2]
DFT (PBE) results for a geometry-optimized Ac2CeGa2 structure.

Lattice parameters (Å, degrees): 6.421 6.421 4.707 111.44 111.44 63.29
Fractional positions:
Ac (0.202, 0.202, 0.202)
Ac (0.798, 0.798, 0.798)
Ce (0.500, 0.500, 0.000)
Ga (0.207, 0.793, 0.500)
Ga (0.793, 0.207, 0.500)

Properties
* space group: C2/m (12)
* volume: 156.56 Å³/f.u.
* size of the total moment: 0.568 μB/f.u.
* ΔH_f (0 K): -1.76 eV per formula unit

[3]
DFT (PBE) results for a geometry-optimized AcCe2Ga3 structure.

Lattice parameters (Å, degrees): 3.517 3.517 12.458 90.00 90.00 90.00
Fractional positions:
Ac (0.000, 0.000, 0.000)
Ce (0.000, 0.000, 0.339)
Ce (0.000, 0.000, 0.661)
Ga (0.500, 0.500, 0.182)
Ga (0.500, 0.500, 0.500)
Ga (0.500, 0.500, 0.818)

Properties
* space group: P4/mmm (123)
* volume: 154.09 Å³/f.u.
* size of the total moment: 1.110 μB/f.u.
* ΔH_f (0 K): -2.52 eV per formula unit